(1)
A plane-wave DFT calculation with PBE-GGA was carried out for a relaxed Dy2Er5Tl crystal.

CIF file:
```
data_Dy2Er5Tl
_chemical_formula_sum 'Dy4 Er10 Tl2'
_cell_length_a 6.923
_cell_length_b 13.918
_cell_length_c 4.921
_cell_angle_alpha 90.00
_cell_angle_beta 90.00
_cell_angle_gamma 90.00
_space_group_name_H-M_alt 'P b a m'
_space_group_IT_number 55
loop_
_space_group_symop_operation_xyz
'x,y,z'
'-x,-y,-z'
'-x,-y,z'
'x,y,-z'
'x+1/2,-y+1/2,-z'
'-x+1/2,y+1/2,z'
'-x+1/2,y+1/2,-z'
'x+1/2,-y+1/2,z'
loop_
_atom_site_label
_atom_site_type_symbol
_atom_site_fract_x
_atom_site_fract_y
_atom_site_fract_z
Dy1 Dy 0.245 0.127 0.000
Er1 Er 0.000 0.000 0.500
Er2 Er 0.002 0.256 0.500
Er3 Er 0.244 0.874 0.000
Tl1 Tl 0.000 0.500 0.500
```

Fermi-level density of states ... 1.41 states/eV per atom
Energy of formation ... -0.05 eV/atom

(2)
A plane-wave DFT calculation with PBE-GGA was carried out for a relaxed Dy2ErTl4 crystal.

CIF file:
```
data_Dy2ErTl4
_chemical_formula_sum 'Dy4 Er2 Tl8'
_cell_length_a 7.434
_cell_length_b 7.434
_cell_length_c 7.535
_cell_angle_alpha 90.00
_cell_angle_beta 90.00
_cell_angle_gamma 90.00
_space_group_name_H-M_alt 'I 4/m m m'
_space_group_IT_number 139
_space_group_name_Hall '-I 4 2'
loop_
_atom_site_label
_atom_site_type_symbol
_atom_site_fract_x
_atom_site_fract_y
_atom_site_fract_z
Dy1 Dy 0.000 0.500 0.000
Er1 Er 0.000 0.000 0.000
Tl1 Tl 0.250 0.250 0.250
```

Fermi-level density of states ... 0.89 states/eV per atom
Energy of formation ... -0.22 eV/atom

(3)
A plane-wave DFT calculation with PBE-GGA was carried out for a relaxed Dy6ErTl4 crystal.

CIF file:
```
data_Dy6ErTl4
_chemical_formula_sum 'Dy12 Er2 Tl8'
_cell_length_a 6.382
_cell_length_b 6.382
_cell_length_c 16.656
_cell_angle_alpha 90.00
_cell_angle_beta 90.00
_cell_angle_gamma 90.00
_space_group_name_H-M_alt 'I -4 2 m'
_space_group_IT_number 121
_space_group_name_Hall 'I -4 2'
loop_
_atom_site_label
_atom_site_type_symbol
_atom_site_fract_x
_atom_site_fract_y
_atom_site_fract_z
Dy1 Dy 0.000 0.500 0.000
Dy2 Dy 0.236 0.236 0.180
Er1 Er 0.000 0.000 0.500
Tl1 Tl 0.243 0.243 0.366
```

Fermi-level density of states ... 0.92 states/eV per atom
Energy of formation ... -0.13 eV/atom

(4)
A plane-wave DFT calculation with PBE-GGA was carried out for a relaxed Dy6ErTl5 crystal.

CIF file:
```
data_Dy6ErTl5
_chemical_formula_sum 'Dy12 Er2 Tl10'
_cell_length_a 4.992
_cell_length_b 8.838
_cell_length_c 15.156
_cell_angle_alpha 90.00
_cell_angle_beta 90.00
_cell_angle_gamma 90.00
_space_group_name_H-M_alt 'I m m m'
_space_group_IT_number 71
_space_group_name_Hall '-I 2 2'
loop_
_atom_site_label
_atom_site_type_symbol
_atom_site_fract_x
_atom_site_fract_y
_atom_site_fract_z
Dy1 Dy 0.000 0.227 0.000
Dy2 Dy 0.000 0.263 0.330
Er1 Er 0.000 0.000 0.500
Tl1 Tl 0.000 0.000 0.179
Tl2 Tl 0.000 0.500 0.147
Tl3 Tl 0.000 0.500 0.500
```

Fermi-level density of states ... 1.06 states/eV per atom
Energy of formation ... -0.27 eV/atom

(5)
A plane-wave DFT calculation with PBE-GGA was carried out for a relaxed DyEr6Tl4 crystal.

CIF file:
```
data_DyEr6Tl4
_chemical_formula_sum 'Dy2 Er12 Tl8'
_cell_length_a 6.305
_cell_length_b 6.305
_cell_length_c 16.722
_cell_angle_alpha 90.00
_cell_angle_beta 90.00
_cell_angle_gamma 90.00
_space_group_name_H-M_alt 'I -4 2 m'
_space_group_IT_number 121
_space_group_name_Hall 'I -4 2'
loop_
_atom_site_label
_atom_site_type_symbol
_atom_site_fract_x
_atom_site_fract_y
_atom_site_fract_z
Dy1 Dy 0.000 0.000 0.000
Er1 Er 0.000 0.500 0.000
Er2 Er 0.236 0.236 0.680
Tl1 Tl 0.243 0.243 0.865
```

Fermi-level density of states ... 1.00 states/eV per atom
Energy of formation ... -0.11 eV/atom

(6)
A plane-wave DFT calculation with PBE-GGA was carried out for a relaxed DyEr2Tl crystal.

CIF file:
```
data_DyEr2Tl
_chemical_formula_sum 'Dy4 Er8 Tl4'
_cell_length_a 3.625
_cell_length_b 12.786
_cell_length_c 10.128
_cell_angle_alpha 90.00
_cell_angle_beta 90.00
_cell_angle_gamma 90.00
_space_group_name_H-M_alt 'C m c m'
_space_group_IT_number 63
_space_group_name_Hall '-C 2c 2'
loop_
_atom_site_label
_atom_site_type_symbol
_atom_site_fract_x
_atom_site_fract_y
_atom_site_fract_z
Dy1 Dy 0.000 0.039 0.250
Er1 Er 0.000 0.369 0.031
Tl1 Tl 0.000 0.244 0.750
```

Fermi-level density of states ... 1.26 states/eV per atom
Energy of formation ... -0.16 eV/atom

Question: Which value of Fermi-level density of states does entry 5 give?
Answer: 1.00 states/eV per atom